Entry 1:
Entry from Alexandria: crystalline B3C2 at its relaxed geometry (GGA-PBE).

For the energy relative to the lowest polymorph listed for this composition, the calculation gives 286 meV per atom. The calculation puts the formation energy at 0.497 eV/atom.

It has space group R3m (No. 160, hexagonal axes), with a = 2.6321 Å, b = 2.6321 Å, c = 34.6997 Å, α = 90.00°, β = 90.00° and γ = 120.00°. Symmetry generates all atoms from B at (0.0000, 0.0000, 0.0000), B at (0.0000, 0.0000, 0.0517), B at (0.0000, 0.0000, 0.2499), B at (0.0000, 0.0000, 0.4119), B at (0.0000, 0.0000, 0.6114), B at (0.0000, 0.0000, 0.8094), C at (0.0000, 0.0000, 0.2040), C at (0.0000, 0.0000, 0.4568), C at (0.0000, 0.0000, 0.6570) and C at (0.0000, 0.0000, 0.8563).

Entry 2:
Entry from Alexandria: crystalline B7C5 at its relaxed geometry (GGA-PBE).

For the energy relative to the lowest polymorph listed for this composition, the calculation gives 212 meV per atom. The calculation puts the formation energy at 0.377 eV/atom.

It has space group P1 (No. 1), with a = 3.403 Å, b = 4.364 Å, c = 5.615 Å, α = 92.71°, β = 92.94° and γ = 109.15°. Symmetry generates all atoms from B at (0.000, 0.000, 0.000), B at (0.037, 0.680, 0.843), B at (0.360, 0.765, 0.142), B at (0.444, 0.363, 0.051), B at (0.691, 0.505, 0.331), B at (0.747, 0.015, 0.709), B at (0.785, 0.150, 0.226), C at (0.029, 0.108, 0.471), C at (0.122, 0.798, 0.402), C at (0.330, 0.712, 0.618), C at (0.412, 0.402, 0.566) and C at (0.649, 0.343, 0.790).

Entry 3:
Entry from Alexandria: crystalline BC at its relaxed geometry (GGA-PBE).

For the energy relative to the lowest polymorph listed for this composition, the calculation gives 264 meV per atom. The calculation puts the formation energy at 0.415 eV/atom.

It has space group Pm (No. 6), with a = 3.655 Å, b = 2.631 Å, c = 8.814 Å, α = 90.00°, β = 91.54° and γ = 90.00°. Symmetry generates all atoms from B at (0.000, 0.000, 0.000), B at (0.033, 0.000, 0.304), B at (0.078, 0.000, 0.622), B at (0.228, 0.000, 0.818), B at (0.465, 0.500, 0.427), B at (0.659, 0.500, 0.840), C at (0.282, 0.000, 0.472), C at (0.284, 0.000, 0.152), C at (0.520, 0.500, 0.150), C at (0.752, 0.500, 0.298), C at (0.770, 0.500, 0.015) and C at (0.985, 0.500, 0.721).

Entry 4:
Entry from Alexandria: crystalline B7C5 at its relaxed geometry (GGA-PBE).

For the energy relative to the lowest polymorph listed for this composition, the calculation gives 217 meV per atom. The calculation puts the formation energy at 0.381 eV/atom.

It has space group P1 (No. 1), with a = 3.661 Å, b = 4.690 Å, c = 5.387 Å, α = 107.67°, β = 91.95° and γ = 109.35°. Symmetry generates all atoms from B at (0.000, 0.000, 0.000), B at (0.005, 0.353, 0.990), B at (0.033, 0.929, 0.427), B at (0.274, 0.099, 0.736), B at (0.378, 0.700, 0.602), B at (0.684, 0.303, 0.280), B at (0.976, 0.312, 0.595), C at (0.292, 0.971, 0.205), C at (0.387, 0.671, 0.113), C at (0.600, 0.674, 0.871), C at (0.607, 0.641, 0.347) and C at (0.692, 0.374, 0.794).

Entry 5:
Entry from Alexandria: crystalline BC at its relaxed geometry (GGA-PBE).

For the energy relative to the lowest polymorph listed for this composition, the calculation gives 183 meV per atom. The calculation puts the formation energy at 0.334 eV/atom.

It has space group Cm (No. 8), with a = 8.464 Å, b = 2.572 Å, c = 8.089 Å, α = 90.00°, β = 117.76° and γ = 90.00°. Symmetry generates all atoms from B at (0.000, 0.000, 0.000), B at (0.015, 0.000, 0.253), B at (0.131, 0.000, 0.865), B at (0.208, 0.000, 0.669), B at (0.355, 0.000, 0.894), B at (0.458, 0.000, 0.739), C at (0.110, 0.500, 0.546), C at (0.124, 0.500, 0.367), C at (0.209, 0.000, 0.102), C at (0.307, 0.500, 0.202), C at (0.317, 0.500, 0.405) and C at (0.416, 0.000, 0.514).

Entry 6:
Entry from Alexandria: crystalline B3C7 at its relaxed geometry (GGA-PBE).

For the energy relative to the lowest polymorph listed for this composition, the calculation gives 94 meV per atom. The calculation puts the formation energy at 0.357 eV/atom.

It has space group P1 (No. 1), with a = 3.594 Å, b = 4.358 Å, c = 4.604 Å, α = 86.53°, β = 68.42° and γ = 69.27°. Symmetry generates all atoms from B at (0.000, 0.000, 0.000), B at (0.048, 0.034, 0.359), B at (0.851, 0.662, 0.168), C at (0.207, 0.356, 0.233), C at (0.250, 0.454, 0.542), C at (0.392, 0.749, 0.460), C at (0.466, 0.866, 0.729), C at (0.579, 0.174, 0.649), C at (0.636, 0.290, 0.932) and C at (0.796, 0.588, 0.832).